[1]
Below is a geometry-optimized ZrTlAu2 structure, with properties calculated at the PBE level.

a b c (Å): 8.398 8.398 8.398
angles (deg): 25.13 25.13 25.13
Sites, in units of the cell vectors:
Au1 0.993 0.993 0.993
Au2 0.507 0.507 0.507
Tl1 0.750 0.750 0.750
Zr1 0.250 0.250 0.250

Total moment in μB/cell: 0.00
Energy relative to the elements in eV per atom: -0.18

---

[2]
Below is a geometry-optimized ZrSc2Tc structure, with properties calculated at the PBE level.

a b c (Å): 4.444 3.194 5.937
angles (deg): 76.11 90.00 90.00
Sites, in units of the cell vectors:
Sc1 0.000 0.000 0.996
Sc2 0.500 0.328 0.274
Tc1 0.000 0.502 0.508
Zr1 0.500 0.670 0.722

Total moment in μB/cell: 0.00
Energy relative to the elements in eV per atom: -0.06

---

[3]
Below is a geometry-optimized Sr2LiTlH structure, with properties calculated at the PBE level.

a b c (Å): 5.525 5.525 4.222
angles (deg): 90.00 90.00 90.00
Sites, in units of the cell vectors:
Sr1 0.000 0.500 0.000
Sr2 0.500 0.000 0.000
Tl1 0.500 0.500 0.500
H1 0.000 0.000 0.000
Li1 0.000 0.000 0.500

Total moment in μB/cell: 0.00

---

[4]
Below is a geometry-optimized IrPd2S structure, with properties calculated at the PBE level.

a b c (Å): 3.659 3.659 9.735
angles (deg): 79.17 79.17 90.00
Sites, in units of the cell vectors:
S1 0.500 0.500 0.000
S2 0.250 0.750 0.500
Ir1 0.000 0.000 0.000
Ir2 0.750 0.250 0.500
Pd1 0.626 0.125 0.250
Pd2 0.124 0.625 0.250
Pd3 0.375 0.374 0.750
Pd4 0.875 0.876 0.750

Formation energy from raw total energies in meV/atom: 409.1
Total moment in μB/cell: 0.00

---

[5]
Below is a geometry-optimized ErAl3Pd2 structure, with properties calculated at the PBE level.

a b c (Å): 4.151 8.569 9.979
angles (deg): 108.16 90.00 104.02
Sites, in units of the cell vectors:
Er1 0.158 0.316 0.705
Er2 0.842 0.684 0.295
Er3 0.000 0.000 0.000
Al1 0.042 0.083 0.353
Al2 0.958 0.917 0.647
Al3 0.214 0.428 0.391
Al4 0.786 0.572 0.609
Al5 0.627 0.253 0.199
Al6 0.373 0.747 0.801
Al7 0.500 0.000 0.500
Al8 0.325 0.650 0.035
Al9 0.675 0.350 0.965
Pd1 0.199 0.397 0.129
Pd2 0.801 0.603 0.871
Pd3 0.473 0.946 0.219
Pd4 0.527 0.054 0.781
Pd5 0.362 0.724 0.546
Pd6 0.638 0.276 0.454

Total moment in μB/cell: 0.00
Energy relative to the elements in eV per atom: -0.78

---

[6]
Below is a geometry-optimized DyThBi structure, with properties calculated at the PBE level.

a b c (Å): 4.557 4.557 8.970
angles (deg): 90.00 90.00 90.00
Sites, in units of the cell vectors:
Dy1 0.500 0.500 0.500
Dy2 0.000 0.000 0.500
Th1 0.000 0.500 0.860
Th2 0.500 0.000 0.140
Bi1 0.000 0.500 0.235
Bi2 0.500 0.000 0.765

Total moment in μB/cell: 0.00
Energy relative to the elements in eV per atom: -0.44

---

[7]
Below is a geometry-optimized AlSb2W structure, with properties calculated at the PBE level.

a b c (Å): 5.213 5.213 5.213
angles (deg): 136.70 122.37 74.74
Sites, in units of the cell vectors:
Sb1 0.017 0.017 0.000
Sb2 0.483 0.483 0.000
Al1 0.250 0.750 0.500
W1 0.750 0.250 0.500

Formation energy from raw total energies in meV/atom: 608.7
Total moment in μB/cell: 0.00

---

[8]
Below is a geometry-optimized Tb2ErI structure, with properties calculated at the PBE level.

a b c (Å): 3.758 3.758 10.624
angles (deg): 79.81 79.81 60.00
Sites, in units of the cell vectors:
Tb1 0.080 0.080 0.761
Tb2 0.254 0.254 0.238
Er1 0.500 0.500 0.501
I1 0.667 0.667 0.000

Formation energy from raw total energies in meV/atom: -351.4
Total moment in μB/cell: 0.00

---

[9]
Below is a geometry-optimized SmEuTmSc structure, with properties calculated at the PBE level.

a b c (Å): 5.620 5.620 5.620
angles (deg): 60.00 60.00 60.00
Sites, in units of the cell vectors:
Eu1 0.500 0.500 0.500
Sc1 0.000 0.000 0.000
Tm1 0.250 0.250 0.250
Sm1 0.750 0.750 0.750

Total moment in μB/cell: 7.77
Energy relative to the elements in eV per atom: 0.17

---

[10]
Below is a geometry-optimized RbInSn2Cl6 structure, with properties calculated at the PBE level.

a b c (Å): 11.005 8.965 8.965
angles (deg): 73.65 64.64 64.64
Sites, in units of the cell vectors:
Rb1 0.250 0.820 0.180
Rb2 0.750 0.180 0.820
In1 0.250 0.285 0.715
In2 0.750 0.715 0.285
Sn1 0.291 0.705 0.691
Sn2 0.209 0.309 0.295
Sn3 0.709 0.295 0.309
Sn4 0.791 0.691 0.705
Cl1 0.183 0.973 0.821
Cl2 0.317 0.179 0.027
Cl3 0.817 0.027 0.179
Cl4 0.683 0.821 0.973
Cl5 0.411 0.848 0.409
Cl6 0.089 0.591 0.152
Cl7 0.589 0.152 0.591
Cl8 0.911 0.409 0.848
Cl9 0.072 0.773 0.607
Cl10 0.428 0.393 0.227
Cl11 0.928 0.227 0.393
Cl12 0.572 0.607 0.773

Formation energy from raw total energies in meV/atom: -1161.1
Total moment in μB/cell: 0.00

---

[11]
Below is a geometry-optimized NdPu3Se4 structure, with properties calculated at the PBE level.

a b c (Å): 4.169 7.225 7.225
angles (deg): 109.44 90.00 90.00
Sites, in units of the cell vectors:
Nd1 0.500 0.000 0.000
Pu1 0.000 0.000 0.500
Pu2 0.500 0.500 0.500
Pu3 0.000 0.500 0.000
Se1 0.000 0.256 0.256
Se2 0.500 0.747 0.253
Se3 0.000 0.744 0.744
Se4 0.500 0.253 0.747

Formation energy from raw total energies in meV/atom: -1617.2
Total moment in μB/cell: 17.44

---

[12]
Below is a geometry-optimized RhAu structure, with properties calculated at the PBE level.

a b c (Å): 8.381 8.381 2.681
angles (deg): 90.00 90.00 90.00
Sites, in units of the cell vectors:
Rh1 0.393 0.607 0.000
Rh2 0.893 0.893 0.500
Rh3 0.107 0.107 0.500
Rh4 0.607 0.393 0.000
Au1 0.300 0.300 0.000
Au2 0.800 0.200 0.500
Au3 0.200 0.800 0.500
Au4 0.700 0.700 0.000

Total moment in μB/cell: 2.44
Energy relative to the elements in eV per atom: 0.71

---

[13]
Below is a geometry-optimized Te4AuI structure, with properties calculated at the PBE level.

a b c (Å): 9.613 8.286 7.541
angles (deg): 123.33 61.55 90.00
Sites, in units of the cell vectors:
Te1 0.239 0.758 0.516
Te2 0.491 0.153 0.765
Te3 0.000 0.295 0.000
Te4 0.509 0.389 0.235
Te5 0.761 0.242 0.484
Te6 0.509 0.847 0.235
Te7 0.000 0.705 0.000
Te8 0.491 0.611 0.765
Au1 0.246 0.455 0.911
Au2 0.754 0.545 0.089
I1 0.786 0.902 0.804
I2 0.214 0.098 0.196

Formation energy from raw total energies in meV/atom: 0.1
Total moment in μB/cell: 0.00

---

[14]
Below is a geometry-optimized MgCuPd2 structure, with properties calculated at the PBE level.

a b c (Å): 3.866 3.866 9.298
angles (deg): 78.00 78.00 90.00
Sites, in units of the cell vectors:
Mg1 0.500 0.500 0.000
Mg2 0.250 0.750 0.500
Cu1 0.000 0.000 0.000
Cu2 0.750 0.250 0.500
Pd1 0.634 0.125 0.250
Pd2 0.116 0.625 0.250
Pd3 0.375 0.366 0.750
Pd4 0.875 0.884 0.750

Total moment in μB/cell: 0.00
Energy relative to the elements in eV per atom: -0.08

---

[15]
Below is a geometry-optimized Rb4IrS4 structure, with properties calculated at the PBE level.

a b c (Å): 7.469 7.469 8.845
angles (deg): 114.97 114.97 90.00
Sites, in units of the cell vectors:
Rb1 0.500 0.000 0.000
Rb2 0.000 0.500 0.000
Rb3 0.297 0.297 0.593
Rb4 0.703 0.703 0.407
Ir1 0.000 0.000 0.000
S1 0.731 0.731 0.783
S2 0.269 0.948 0.217
S3 0.052 0.052 0.783
S4 0.948 0.269 0.217

Formation energy from raw total energies in meV/atom: -657.9
Total moment in μB/cell: 1.03

---

[16]
Below is a geometry-optimized TiBH2 structure, with properties calculated at the PBE level.

a b c (Å): 3.301 3.301 3.301
angles (deg): 60.00 60.00 60.00
Sites, in units of the cell vectors:
H1 0.250 0.250 0.250
H2 0.750 0.750 0.750
B1 0.000 0.000 0.000
Ti1 0.500 0.500 0.500

Total moment in μB/cell: 0.00

---

[17]
Below is a geometry-optimized ZnCrHRh2 structure, with properties calculated at the PBE level.

a b c (Å): 3.977 3.977 3.703
angles (deg): 90.00 90.00 90.00
Sites, in units of the cell vectors:
Cr1 0.500 0.500 0.500
Zn1 0.000 0.000 0.500
Rh1 0.000 0.500 0.000
Rh2 0.500 0.000 0.000
H1 0.000 0.000 0.000

Total moment in μB/cell: 3.20

---

[18]
Below is a geometry-optimized LiHfPd4 structure, with properties calculated at the PBE level.

a b c (Å): 4.779 4.779 8.515
angles (deg): 90.00 89.94 90.00
Sites, in units of the cell vectors:
Li1 0.500 0.000 0.500
Li2 0.000 0.500 0.500
Hf1 0.000 0.000 0.000
Hf2 0.500 0.500 0.000
Pd1 0.000 0.503 0.165
Pd2 0.500 0.003 0.835
Pd3 0.499 0.495 0.338
Pd4 0.001 0.995 0.662
Pd5 0.000 0.497 0.835
Pd6 0.500 0.997 0.165
Pd7 0.501 0.505 0.662
Pd8 0.999 0.005 0.338

Total moment in μB/cell: 0.00
Energy relative to the elements in eV per atom: -0.51

---

[19]
Below is a geometry-optimized Ac6Tl2P structure, with properties calculated at the PBE level.

a b c (Å): 7.106 9.210 10.756
angles (deg): 90.00 88.73 90.00
Sites, in units of the cell vectors:
Ac1 0.119 0.036 0.232
Ac2 0.130 0.307 0.562
Ac3 0.145 0.334 0.941
Ac4 0.355 0.834 0.559
Ac5 0.370 0.807 0.938
Ac6 0.381 0.536 0.268
Ac7 0.881 0.964 0.768
Ac8 0.870 0.693 0.438
Ac9 0.855 0.666 0.059
Ac10 0.645 0.166 0.441
Ac11 0.630 0.193 0.062
Ac12 0.619 0.464 0.732
Tl1 0.066 0.619 0.742
Tl2 0.434 0.119 0.758
Tl3 0.566 0.881 0.242
Tl4 0.934 0.381 0.258
P1 0.500 0.500 0.000
P2 0.000 0.000 0.500

Total moment in μB/cell: 0.00
Energy relative to the elements in eV per atom: -0.44

---

[20]
Below is a geometry-optimized SiH structure, with properties calculated at the PBE level.

a b c (Å): 5.586 3.880 6.702
angles (deg): 90.00 103.25 90.00
Sites, in units of the cell vectors:
Si1 0.066 0.000 0.179
Si2 0.934 0.000 0.821
Si3 0.066 0.500 0.679
Si4 0.934 0.500 0.321
H1 0.658 0.000 0.768
H2 0.342 0.000 0.232
H3 0.658 0.500 0.268
H4 0.342 0.500 0.732

Total moment in μB/cell: 0.00

---

[21]
Below is a geometry-optimized HfBeCoPt2 structure, with properties calculated at the PBE level.

a b c (Å): 4.667 3.761 4.667
angles (deg): 90.00 90.00 90.00
Sites, in units of the cell vectors:
Co1 0.000 0.000 0.000
Hf1 0.500 0.500 0.500
Pt1 0.000 0.000 0.500
Pt2 0.500 0.000 0.000
Be1 0.000 0.500 0.000

Total moment in μB/cell: 1.53
Energy relative to the elements in eV per atom: 0.17

---

[22]
Below is a geometry-optimized Sc3CuGe3 structure, with properties calculated at the PBE level.

a b c (Å): 5.419 8.092 8.092
angles (deg): 120.00 90.00 90.00
Sites, in units of the cell vectors:
Sc1 0.750 0.685 0.630
Sc2 0.750 0.370 0.055
Sc3 0.750 0.945 0.315
Sc4 0.250 0.315 0.370
Sc5 0.250 0.630 0.945
Sc6 0.250 0.055 0.685
Cu1 0.250 0.667 0.333
Cu2 0.750 0.333 0.667
Ge1 0.250 0.698 0.649
Ge2 0.250 0.351 0.049
Ge3 0.250 0.951 0.302
Ge4 0.750 0.302 0.351
Ge5 0.750 0.649 0.951
Ge6 0.750 0.049 0.698

Total moment in μB/cell: 0.00
Energy relative to the elements in eV per atom: -0.38

---

[23]
Below is a geometry-optimized DyLuIr4 structure, with properties calculated at the PBE level.

a b c (Å): 5.337 5.337 5.337
angles (deg): 60.00 60.00 60.00
Sites, in units of the cell vectors:
Ir1 0.625 0.625 0.125
Ir2 0.625 0.125 0.625
Ir3 0.625 0.625 0.625
Ir4 0.125 0.625 0.625
Lu1 0.000 0.000 0.000
Dy1 0.250 0.250 0.250

Total moment in μB/cell: 0.00
Energy relative to the elements in eV per atom: -0.82

---

[24]
Below is a geometry-optimized LaAg2Br6 structure, with properties calculated at the PBE level.

a b c (Å): 7.254 9.347 9.347
angles (deg): 76.60 74.16 74.16
Sites, in units of the cell vectors:
La1 0.250 0.155 0.845
La2 0.750 0.845 0.155
Ag1 0.285 0.624 0.733
Ag2 0.215 0.267 0.376
Ag3 0.715 0.376 0.267
Ag4 0.785 0.733 0.624
Br1 0.488 0.775 0.495
Br2 0.012 0.505 0.225
Br3 0.512 0.225 0.505
Br4 0.988 0.495 0.775
Br5 0.980 0.859 0.368
Br6 0.520 0.632 0.141
Br7 0.020 0.141 0.632
Br8 0.480 0.368 0.859
Br9 0.153 0.831 0.933
Br10 0.347 0.067 0.169
Br11 0.847 0.169 0.067
Br12 0.653 0.933 0.831

Formation energy from raw total energies in meV/atom: -948.5
Total moment in μB/cell: 0.00

---

no.,DFT total energy (eV/atom)
1,-4.544
2,-7.951
3,-2.558
4,-5.434
5,-5.146
6,-5.737
7,-5.626
8,-4.195
9,-6.276
10,-3.440
11,-9.330
12,-4.605
13,-2.899
14,-4.095
15,-3.907
16,-5.187
17,-5.844
18,-5.954
19,-4.304
20,-4.370
21,-6.405
22,-5.656
23,-8.248
24,-3.245